The following is a GGA-PBE calculation of Te8WAu2 after structural relaxation, from Alexandria.

Unit cell a=12.0593 b=9.5361 c=6.1229 alpha=90.00 beta=97.77 gamma=90.00
Space group C2/m (No. 12)
Asymmetric unit:
1 Te 0.0293 0.0000 0.2537
2 Te 0.0737 0.3110 0.7138
3 Te 0.2128 0.5000 0.1812
4 W 0.0000 0.5000 0.0000
5 Au 0.2476 0.5000 0.6371

Calculated values
Raw total energy (eV per formula unit): -43.3
Theoretical density (g/cm³): 7.610
Energy relative to the elements, uncorrected (meV/atom): 121.1
M_tot (μB per formula unit): 0.000